This record from Alexandria describes LiBSe3 after structural relaxation. The functional is PBE.

Results
- uncorrected energy (eV/cell) = -17.39
- uncorrected formation energy (eV/atom) = 0.33
- V (Å³ per cell) = 94
- total moment (μB/cell) = 0.00

Lattice parameters (Å, degrees): 4.5514 4.5514 4.5514 90.00 90.00 90.00
Atoms (fractional coordinates):
Li 0.5000 0.5000 0.5000
Se 0.5000 0.0000 0.0000
Se 0.0000 0.0000 0.5000
B 0.0000 0.0000 0.0000
Se 0.0000 0.5000 0.0000


This record from Alexandria describes Li2BSe2 after structural relaxation. The functional is PBE.

Results
- uncorrected energy (eV/cell) = -15.81
- uncorrected formation energy (eV/atom) = 0.33
- V (Å³ per cell) = 94
- total moment (μB/cell) = 0.00

Lattice parameters (Å, degrees): 4.0861 4.0861 6.3070 71.10 71.10 90.00
Atoms (fractional coordinates):
B 0.0000 0.0000 0.0000
Se 0.3791 0.3791 0.2419
Li 0.2500 0.7500 0.5000
Li 0.7500 0.2500 0.5000
Se 0.6209 0.6209 0.7581


This record from Alexandria describes Li3BSe after structural relaxation. The functional is PBE.

Results
- uncorrected energy (eV/cell) = -14.88
- uncorrected formation energy (eV/atom) = 0.20
- V (Å³ per cell) = 80
- total moment (μB/cell) = 2.00

Lattice parameters (Å, degrees): 4.3166 4.3166 4.3166 90.00 90.00 90.00
Atoms (fractional coordinates):
Se 0.5000 0.5000 0.5000
Li 0.0000 0.5000 0.0000
B 0.0000 0.0000 0.0000
Li 0.0000 0.0000 0.5000
Li 0.5000 0.0000 0.0000


Number 1: ρ 4.5 g cm⁻³. Number 2: ρ 3.2 g cm⁻³. Number 3: ρ 2.3 g cm⁻³.